TaZnBr2 after structural relaxation, computed with GGA-PBE.

Values from the calculation:
**Magnetic moment**: 1.94 μB/f.u.
**E_form (uncorrected)**: 169 meV/atom
**Calculated total energy**: -15.8 eV/f.u.
**Space-group type**: I-42d (122)
**Density of states at the Fermi level**: 2.4 states/eV/f.u.

abc: 9.271 9.271 7.106
angles: 49.28 49.28 90.00
Last column: magnetic moment on the atom in μB.
Atoms (fractional coordinates):
Ta (0.000, 0.000, 0.000)  1.25
Br (0.766, 0.125, 0.250)  0.00
Br (0.984, 0.625, 0.250)  0.00
Zn (0.500, 0.500, 0.000)  0.02
Zn (0.250, 0.750, 0.500)  0.02
Ta (0.750, 0.250, 0.500)  1.25
Br (0.375, 0.234, 0.750)  0.00
Br (0.875, 0.016, 0.750)  0.00